VASP calculation (GGA+U) on a relaxed structure of MnCu2RuO8.

## Properties
DFT total energy   -5.8282 eV/atom
SG   No. 119
Size of the total moment   3.379 μB per formula unit
Theoretical density   5.2 g/cm3

abc: 5.537 5.537 5.537
angles: 111.13 111.13 106.21
Fractional coordinates of all 12 atoms:
Mn: 0.000 0.000 0.000
Cu: 0.250 0.750 0.500
Cu: 0.500 0.500 0.000
Ru: 0.750 0.250 0.500
O: 0.022 0.345 0.323
O: 0.022 0.700 0.677
O: 0.097 0.291 0.805
O: 0.300 0.978 0.323
O: 0.486 0.291 0.195
O: 0.655 0.978 0.677
O: 0.709 0.514 0.805
O: 0.709 0.903 0.195